This record from Alexandria via LeMat-Bulk describes a geometry-optimized K4Pu3CrO12 structure. The functional is GGA+U.

The structure in CIF format:
```
data_K4Pu3CrO12
_cell_length_a 7.2552
_cell_length_b 7.2552
_cell_length_c 7.2552
_cell_angle_alpha 109.47
_cell_angle_beta 109.47
_cell_angle_gamma 109.47
_space_group_name_H-M_alt 'P 1'
_space_group_IT_number 1
loop_
_space_group_symop_operation_xyz
'x,y,z'
loop_
_atom_site_label
_atom_site_type_symbol
_atom_site_fract_x
_atom_site_fract_y
_atom_site_fract_z
O1 O 0.2500 0.7500 0.5000
O2 O 0.7462 0.7462 0.0000
O3 O 0.2538 0.0000 0.2538
O4 O 0.2500 0.5000 0.7500
O5 O 0.5000 0.7500 0.2500
O6 O 0.7500 0.5000 0.2500
O7 O 0.7500 0.2500 0.5000
O8 O 0.0000 0.2538 0.2538
O9 O 0.0000 0.7462 0.7462
O10 O 0.2538 0.2538 0.0000
O11 O 0.5000 0.2500 0.7500
O12 O 0.7462 0.0000 0.7462
K1 K 0.0000 0.5000 0.0000
K2 K 0.0000 0.0000 0.5000
K3 K 0.5000 0.0000 0.0000
K4 K 0.5000 0.5000 0.5000
Pu1 Pu 0.5000 0.0000 0.5000
Pu2 Pu 0.0000 0.5000 0.5000
Pu3 Pu 0.5000 0.5000 0.0000
Cr1 Cr 0.0000 0.0000 0.0000
```

Summary:
As for the volume: 14.699 Å³/atom. Its total magnetization is 10.0 μB/f.u. As for the raw total energy: -8.050 eV/atom. Its symmetry is No. 229.